[1]
VASP calculation (PBE-GGA) on a relaxed structure of Ti3AgHg.

```
5
Lattice="-0.4034 5.0192 -0.0096 -0.4198 -0.0433 -5.0177 -5.0016 -0.4011 0.4220" Properties=species:S:1:pos:R:3 pbc="T T T"
Hg 0.0000 0.0000 0.0000
Ag -2.9124 2.2874 -2.3026
Ti -0.2099 -0.0216 -2.5088
Ti -2.5008 -0.2006 0.2110
Ti -0.2017 2.5096 -0.0048
```

## Properties
ΔH_f (0 K)	1.1796	eV/atom
magnetic moment	3.99	μB per formula unit
N(E_F)	12.237	states/eV/f.u.

=====

[2]
VASP calculation (PBE-GGA) on a relaxed structure of Y2MgCd2.

```
5
Lattice="-2.8728 -1.8022 2.2572 2.3150 0.4672 3.3194 -3.9600 7.0547 4.2687" Properties=species:S:1:pos:R:3 pbc="T T T"
Y -1.0207 0.8886 3.0866
Y -3.4972 4.8312 6.7586
Mg 0.0000 0.0000 0.0000
Cd -3.5559 2.2925 4.6571
Cd -0.9620 3.4272 5.1882
```

## Properties
ΔH_f (0 K)	0.0621	eV/atom
magnetic moment	0.00	μB per formula unit
N(E_F)	6.014	states/eV/f.u.